Record 1
VASP calculation (PBE) on a relaxed MnHg2Br crystal.

crystal system	orthorhombic
formation energy from raw total energies	11	meV per atom
offset from the most stable computed form	0.0356	eV/atom

Cell: 7.494 7.494 7.494 Å, 154.22 143.00 45.64°
Each line ends with the local moment (μB).
Positions (direct):
Mn (0.522, 0.522, 0.000)  4.06
Br (0.666, 0.166, 0.500)  0.07
Hg (0.332, 0.832, 0.500)  0.05
Hg (0.981, 0.981, 0.000)  0.00

---

Record 2
VASP calculation (PBE) on a relaxed MnHg2Br crystal.

crystal system	tetragonal
formation energy from raw total energies	64	meV per atom
offset from the most stable computed form	0.0883	eV/atom

Cell: 9.470 9.470 7.177 Å, 48.72 48.72 90.00°
Each line ends with the local moment (μB).
Positions (direct):
Hg (0.875, 0.781, 0.750)  0.00
Hg (0.375, 0.469, 0.750)  0.00
Hg (0.219, 0.625, 0.250)  -0.01
Hg (0.531, 0.125, 0.250)  -0.01
Br (0.750, 0.250, 0.500)  0.03
Br (0.000, 0.000, 0.000)  0.03
Mn (0.500, 0.500, 0.000)  3.97
Mn (0.250, 0.750, 0.500)  3.97

---

Record 3
VASP calculation (PBE) on a relaxed Mn2HgBr crystal.

crystal system	tetragonal
formation energy from raw total energies	459	meV per atom
offset from the most stable computed form	0.2532	eV/atom

Cell: 6.270 6.270 6.270 Å, 143.95 143.95 51.90°
Each line ends with the local moment (μB).
Positions (direct):
Hg (0.750, 0.250, 0.500)  -0.03
Br (0.500, 0.500, 0.000)  0.09
Mn (0.000, 0.000, 0.000)  4.05
Mn (0.250, 0.750, 0.500)  3.94

---

> What is the offset from the most stable computed form in the first record?

0.0356 eV/atom

---

> Among the records above, which one has the lowest formation energy from raw total energies?

number 1

---

> formation energy from raw total energies of number 2 (MnHg2Br)?

64 meV per atom